The following is a PBE+U calculation of a relaxed structure of MnNbP2O, from the Alexandria database.

For the energy above the lowest structure with this stoichiometry, the calculation gives 0.507 eV/atom.

Geometry as CIF:
```
data_MnNbP2O
_chemical_formula_sum 'Mn1 Nb1 P2 O1'
_cell_length_a 4.682
_cell_length_b 4.682
_cell_length_c 3.541
_cell_angle_alpha 90.00
_cell_angle_beta 90.00
_cell_angle_gamma 90.00
_symmetry_space_group_name_H-M 'P 4/m m m'
_symmetry_Int_Tables_number 123
_symmetry_space_group_name_Hall '-P 4 2'
loop_
_atom_site_label
_atom_site_type_symbol
_atom_site_fract_x
_atom_site_fract_y
_atom_site_fract_z
Mn1 Mn 0.000 0.000 0.000
Nb1 Nb 0.500 0.500 0.500
P1 P 0.000 0.500 0.000
O1 O 0.000 0.000 0.500
```